Entry from Alexandria via LeMat-Bulk: an optimized crystal structure of ZrSc2 (GGA-PBEsol).

```
data_ZrSc2
_chemical_formula_sum 'Zr4 Sc8'
_cell_length_a 11.597
_cell_length_b 3.227
_cell_length_c 7.555
_cell_angle_alpha 90.00
_cell_angle_beta 103.23
_cell_angle_gamma 90.00
_symmetry_space_group_name_H-M 'C 1 m 1'
_symmetry_Int_Tables_number 8
loop_
_symmetry_equiv_pos_as_xyz
'x,y,z'
'x,-y,z'
'x+1/2,y+1/2,z'
'x+1/2,-y+1/2,z'
loop_
_atom_site_label
_atom_site_type_symbol
_atom_site_fract_x
_atom_site_fract_y
_atom_site_fract_z
_atom_site_occupancy
Zr1 Zr 0.000 0.000 0.000 1
Zr2 Zr 0.157 0.500 0.325 1
Sc1 Sc 0.106 0.500 0.718 1
Sc2 Sc 0.276 0.000 0.054 1
Sc3 Sc 0.330 0.000 0.667 1
Sc4 Sc 0.439 0.500 0.385 1
```

Entry from Alexandria via LeMat-Bulk: an optimized crystal structure of Zr8Sc (GGA-PBEsol).

```
data_Zr8Sc
_chemical_formula_sum 'Zr16 Sc2'
_cell_length_a 9.487
_cell_length_b 9.487
_cell_length_c 4.440
_cell_angle_alpha 90.00
_cell_angle_beta 90.00
_cell_angle_gamma 90.00
_symmetry_space_group_name_H-M 'I 4/m m m'
_symmetry_Int_Tables_number 139
_symmetry_space_group_name_Hall '-I 4 2'
loop_
_atom_site_label
_atom_site_type_symbol
_atom_site_fract_x
_atom_site_fract_y
_atom_site_fract_z
_atom_site_occupancy
Zr1 Zr 0.000 0.334 0.000 1
Zr2 Zr 0.167 0.167 0.500 1
Sc1 Sc 0.000 0.000 0.000 1
```

Number 1: energy of formation -0.002 eV/atom. Number 2: energy of formation 0.038 eV/atom.